VASP calculation (meta-GGA SCAN) on a crystal of AlIr relaxed with PBEsol.

Computed properties:
The calculation puts the energy of formation from the pure elements at -0.7884 eV/atom. The magnetic moment comes out at 0.00 μB/f.u. Its total energy is -40.21 eV/atom. Its space-group type is No. 141.

Cell lengths 4.890, 4.890, 4.890 Å; angles 136.13, 136.13, 63.78 degrees
Positions (direct):
Al 0.375 0.625 0.750
Al 0.625 0.375 0.250
Ir 0.125 0.875 0.250
Ir 0.875 0.125 0.750

VASP calculation (meta-GGA SCAN) on a crystal of AlIr relaxed with PBEsol.

Computed properties:
The calculation puts the energy of formation from the pure elements at -1.2236 eV/atom. The magnetic moment comes out at 0.00 μB/f.u. Its total energy is -40.65 eV/atom. Its space-group type is No. 221.

Cell lengths 2.990, 2.990, 2.990 Å; angles 90.00, 90.00, 90.00 degrees
Positions (direct):
Al 0.000 0.000 0.000
Ir 0.500 0.500 0.500

VASP calculation (meta-GGA SCAN) on a crystal of Al2Ir relaxed with PBEsol.

Computed properties:
The calculation puts the energy of formation from the pure elements at -0.7484 eV/atom. The magnetic moment comes out at 0.00 μB/f.u. Its total energy is -29.62 eV/atom. Its space-group type is No. 141.

Cell lengths 11.432, 11.432, 11.432 Å; angles 165.60, 165.60, 20.42 degrees
Positions (direct):
Al 0.304 0.554 0.750
Al 0.446 0.696 0.750
Al 0.554 0.304 0.250
Al 0.696 0.446 0.250
Ir 0.125 0.875 0.250
Ir 0.875 0.125 0.750